A plane-wave DFT calculation with PBE was carried out for a relaxed LiTbPmNd crystal.

Output
Energy of formation in eV per formula unit: 0.780
Calculated volume in Å³ per atom: 31.03
DFT total energy in eV for the cell shown: -61.13

a b c (Å): 7.9183 7.9183 7.9183
angles (deg): 90.00 90.00 90.00
Space group F-43m (No. 216)
Inequivalent atoms, fractional coordinates:
1 Li 0.0000 0.0000 0.0000 [4 per cell]
2 Tb 0.2500 0.2500 0.7500 [4 per cell]
3 Pm 0.0000 0.0000 0.5000 [4 per cell]
4 Nd 0.2500 0.2500 0.2500 [4 per cell]

---

A plane-wave DFT calculation with PBE was carried out for a relaxed BeRu2 crystal.

Output
Energy of formation in eV per formula unit: 0.438
Calculated volume in Å³ per atom: 12.42
DFT total energy in eV for the cell shown: -87.36

a b c (Å): 2.7032 2.7032 20.3983
angles (deg): 90.00 90.00 90.00
Space group I4_1/amd (No. 141, origin choice 2)
Inequivalent atoms, fractional coordinates:
1 Be 0.0000 0.2500 0.3750 [4 per cell]
2 Ru 0.0000 0.2500 0.8029 [8 per cell]

---

A plane-wave DFT calculation with PBE was carried out for a relaxed YBeNF6 crystal.

Output
Calculated volume in Å³ per atom: 15.23
DFT total energy in eV for the cell shown: -102.96
Formation energy from raw total energies in kJ/mol of atoms: -233.0

a b c (Å): 6.7883 5.8256 7.6814
angles (deg): 90.00 115.48 90.00
Space group P2_1/m (No. 11)
Inequivalent atoms, fractional coordinates:
1 Y 0.1187 0.2500 0.2219 [2 per cell]
2 Be 0.2762 0.7500 0.5600 [2 per cell]
3 N 0.4098 0.7500 0.1103 [2 per cell]
4 F 0.1497 0.7500 0.6870 [2 per cell]
5 F 0.1803 0.5469 0.0280 [4 per cell]
6 F 0.2137 0.5335 0.4260 [4 per cell]
7 F 0.4743 0.2500 0.3078 [2 per cell]

---

A plane-wave DFT calculation with PBE was carried out for a relaxed TbHoMgBe crystal.

Output
Energy of formation in eV per formula unit: 0.364
Calculated volume in Å³ per atom: 23.24
DFT total energy in eV for the cell shown: -56.66

a b c (Å): 7.1913 7.1913 7.1913
angles (deg): 90.00 90.00 90.00
Space group F-43m (No. 216)
Inequivalent atoms, fractional coordinates:
1 Tb 0.0000 0.0000 0.0000 [4 per cell]
2 Ho 0.0000 0.0000 0.5000 [4 per cell]
3 Mg 0.2500 0.2500 0.7500 [4 per cell]
4 Be 0.2500 0.2500 0.2500 [4 per cell]

---

A plane-wave DFT calculation with PBE was carried out for a relaxed TbZr2Te4 crystal.

Output
Calculated volume in Å³ per atom: 28.75
DFT total energy in eV for the cell shown: -162.83
Formation energy from raw total energies in kJ/mol of atoms: -88.4

a b c (Å): 4.0064 13.5203 14.8638
angles (deg): 90.00 90.00 90.00
Space group Cmcm (No. 63)
Inequivalent atoms, fractional coordinates:
1 Tb 0.0000 0.0992 0.2500 [4 per cell]
2 Zr 0.0000 0.3463 0.0591 [8 per cell]
3 Te 0.0000 0.0000 0.0000 [4 per cell]
4 Te 0.0000 0.2905 0.6265 [8 per cell]
5 Te 0.0000 0.4307 0.2500 [4 per cell]

---

A plane-wave DFT calculation with PBE was carried out for a relaxed HfBSCl2 crystal.

Output
Excess energy over the best structure of this formula in the dataset in eV per atom: 0.379
Calculated volume in Å³ per atom: 15.82
DFT total energy in eV for the cell shown: -22.63
Formation energy from raw total energies in kJ/mol of atoms: 35.2

a b c (Å): 4.2900 4.2900 4.2969
angles (deg): 90.00 90.00 90.00
Space group P4/mmm (No. 123)
Inequivalent atoms, fractional coordinates:
1 Hf 0.0000 0.0000 0.0000 [1 per cell]
2 B 0.5000 0.5000 0.5000 [1 per cell]
3 S 0.5000 0.5000 0.0000 [1 per cell]
4 Cl 0.0000 0.5000 0.5000 [2 per cell]

---

A plane-wave DFT calculation with PBE was carried out for a relaxed AcPuAu4 crystal.

Output
Energy of formation in eV per formula unit: -2.427
Excess energy over the best structure of this formula in the dataset in eV per atom: 0.238
Calculated volume in Å³ per atom: 23.24
DFT total energy in eV for the cell shown: -135.91

a b c (Å): 8.2317 8.2317 8.2317
angles (deg): 90.00 90.00 90.00
Space group F-43m (No. 216)
Inequivalent atoms, fractional coordinates:
1 Ac 0.0000 0.0000 0.0000 [4 per cell]
2 Pu 0.2500 0.2500 0.7500 [4 per cell]
3 Au 0.1244 0.1244 0.3756 [16 per cell]

---

A plane-wave DFT calculation with PBE was carried out for a relaxed ErP2Pt8 crystal.

Output
Energy of formation in eV per formula unit: -3.339
Calculated volume in Å³ per atom: 19.57
DFT total energy in eV for the cell shown: -134.10

a b c (Å): 5.4613 5.4613 14.4336
angles (deg): 90.00 90.00 90.00
Space group I4/mmm (No. 139)
Inequivalent atoms, fractional coordinates:
1 Er 0.0000 0.0000 0.0000 [2 per cell]
2 P 0.0000 0.5000 0.2500 [4 per cell]
3 Pt 0.2465 0.2465 0.3529 [16 per cell]

---

A plane-wave DFT calculation with PBE was carried out for a relaxed Na8CdIn6 crystal.

Output
Energy of formation in eV per formula unit: -0.929
Calculated volume in Å³ per atom: 31.02
DFT total energy in eV for the cell shown: -86.48

a b c (Å): 9.0508 9.0508 19.6755
angles (deg): 90.00 90.00 120.00
Space group R-3 (No. 148, hexagonal axes)
Inequivalent atoms, fractional coordinates:
1 Na 0.0000 0.0000 0.1584 [6 per cell]
2 Na 0.0129 0.6523 0.3780 [18 per cell]
3 Cd 0.0000 0.0000 0.5000 [3 per cell]
4 In 0.0009 0.3169 0.4589 [18 per cell]

---

A plane-wave DFT calculation with PBE was carried out for a relaxed CrHgIrSe2 crystal.

Output
Calculated volume in Å³ per atom: 25.30
DFT total energy in eV for the cell shown: -22.33
Formation energy from raw total energies in kJ/mol of atoms: 66.0

a b c (Å): 4.9328 4.9328 5.1982
angles (deg): 90.00 90.00 90.00
Space group P4/mmm (No. 123)
Inequivalent atoms, fractional coordinates:
1 Cr 0.0000 0.0000 0.0000 [1 per cell]
2 Hg 0.5000 0.5000 0.0000 [1 per cell]
3 Ir 0.5000 0.5000 0.5000 [1 per cell]
4 Se 0.0000 0.5000 0.5000 [2 per cell]

---

A plane-wave DFT calculation with PBE was carried out for a relaxed PuZn4Ge2 crystal.

Output
Energy of formation in eV per formula unit: -1.001
Excess energy over the best structure of this formula in the dataset in eV per atom: 0.019
Calculated volume in Å³ per atom: 17.91
DFT total energy in eV for the cell shown: -59.33

a b c (Å): 7.7961 7.7961 4.1252
angles (deg): 90.00 90.00 90.00
Space group P4_2/mnm (No. 136)
Inequivalent atoms, fractional coordinates:
1 Pu 0.0000 0.0000 0.0000 [2 per cell]
2 Zn 0.0901 0.3439 0.5000 [8 per cell]
3 Ge 0.2072 0.7928 0.5000 [4 per cell]

---

| no. | mass density (Mg/m³) |
| --- | --- |
| 1 | 6.089 |
| 2 | 9.409 |
| 3 | 2.736 |
| 4 | 6.379 |
| 5 | 7.027 |
| 6 | 6.137 |
| 7 | 14.991 |
| 8 | 13.808 |
| 9 | 3.516 |
| 10 | 7.913 |
| 11 | 8.622 |